The following is a PBE calculation of an optimized crystal structure of Pr5Nd2DyTm, from the Alexandria database.

Lattice parameters (Å, degrees): 8.6321 8.6321 10.5053 114.26 114.26 90.00
Element x y z (fractional)
Pr  0.0758  0.5758  0.7115
Tm  0.7500  0.2500  0.5000
Pr  0.3643  0.8643  0.2885
Dy  0.2500  0.2500  0.5000
Pr  0.9242  0.4242  0.2885
Pr  0.5000  0.5000  0.0000
Dy  0.7500  0.7500  0.5000
Pr  0.5758  0.6357  0.7115
Nd  0.3773  0.8773  0.0000
Pr  0.8643  0.9242  0.2885
Nd  0.1227  0.3773  0.0000
Pr  0.0000  0.0000  0.0000
Pr  0.6357  0.1357  0.7115
Nd  0.6227  0.1227  0.0000
Nd  0.8773  0.6227  0.0000
Tm  0.2500  0.7500  0.5000
Pr  0.4242  0.3643  0.2885
Pr  0.1357  0.0758  0.7115

## Properties
Formation energy from the elements in meV/atom: 275
DFT total energy in eV per atom: -4.45
SG: I4/mcm
Total moment in μB/f.u.: 0.00